Compound: YReCl2
Source: the Alexandria database
Functional: PBE
Structure: optimized geometry

a b c (Å): 8.381 8.381 8.381
angles (deg): 158.11 153.60 34.55
Sites, in units of the cell vectors:
1 Re 0.540 0.540 0.000
2 Cl 0.004 0.004 0.000
3 Cl 0.272 0.772 0.500
4 Y 0.684 0.184 0.500

Results
* crystal system: orthorhombic
* V: 97 Å³/f.u.
* M_tot: 0.000 μB/atom
* symmetry: Imm2
* energy relative to the elements, uncorrected: -0.106 eV/atom

---

Compound: HfPd6Au
Source: the Alexandria database
Functional: PBE
Structure: optimized geometry

a b c (Å): 3.987 5.685 5.685
angles (deg): 90.02 90.00 90.00
Sites, in units of the cell vectors:
1 Hf 0.500 0.000 0.000
2 Pd 0.500 0.500 0.000
3 Pd 0.500 0.000 0.500
4 Pd 0.000 0.753 0.753
5 Pd 0.000 0.247 0.247
6 Pd 0.000 0.247 0.753
7 Pd 0.000 0.753 0.247
8 Au 0.500 0.500 0.500

Results
* ΔH_f (0 K): -0.49 eV per atom
* crystal system: tetragonal
* V: 129 Å³/f.u.
* M_tot: 0.000 μB/atom
* symmetry: P4/mmm